First-principles (GGA+U) data for a relaxed structure of VCdOsO6, as listed in the Alexandria database.

Computed properties:
**Total magnetic moment**: 0.10 μB/atom
**D(E_F)**: 1.7 states/eV/cell
**E**: -121.91 eV for the cell shown
**Crystal system**: tetragonal

Cell: 4.739 4.739 9.620 Å, 90.00 90.00 90.00°
Atoms (fractional coordinates):
V 0.000 0.000 0.000
V 0.500 0.500 0.500
Cd 0.000 0.000 0.344
Cd 0.500 0.500 0.844
Os 0.000 0.000 0.677
Os 0.500 0.500 0.177
O 0.179 0.179 0.835
O 0.227 0.227 0.528
O 0.231 0.231 0.152
O 0.269 0.731 0.652
O 0.273 0.727 0.028
O 0.321 0.679 0.335
O 0.679 0.321 0.335
O 0.727 0.273 0.028
O 0.731 0.269 0.652
O 0.769 0.769 0.152
O 0.773 0.773 0.528
O 0.821 0.821 0.835